# PBE with a Hubbard U NaCrGe2O6, relaxed
# Theoretical density, g/cm3: 4.37
# D(E_F), states/eV/atom: 0.00
# Total energy, eV/atom: -6.577
data_NaCrGe2O6
_chemical_formula_sum 'Na4 Cr4 Ge8 O24'
_cell_length_a 10.1175
_cell_length_b 8.9677
_cell_length_c 5.5576
_cell_angle_alpha 90.00
_cell_angle_beta 107.73
_cell_angle_gamma 90.00
_symmetry_space_group_name_H-M 'C 1 2/c 1'
_symmetry_Int_Tables_number 15
loop_
_symmetry_equiv_pos_as_xyz
'x,y,z'
'-x,-y,-z'
'-x,y,-z+1/2'
'x,-y,z+1/2'
'x+1/2,y+1/2,z'
'-x+1/2,-y+1/2,-z'
'-x+1/2,y+1/2,-z+1/2'
'x+1/2,-y+1/2,z+1/2'
loop_
_atom_site_label
_atom_site_type_symbol
_atom_site_fract_x
_atom_site_fract_y
_atom_site_fract_z
Na1 Na 0.0000 0.1971 0.2500
Cr1 Cr 0.0000 0.4107 0.7500
Ge1 Ge 0.2103 0.0959 0.7737
O1 O 0.1053 0.4178 0.1293
O2 O 0.1373 0.0122 0.9932
O3 O 0.1407 0.2726 0.6901